First-principles (PBE) data for a relaxed CaGeB2 crystal, as listed in Alexandria.

Summary:
Total DFT energy (no corrections) ... -4.558 eV/atom
Size of the total moment ... 0.0 μB per formula unit
ΔH_f (0 K) ... 1.74 eV/f.u.

Lattice parameters (Å, degrees): 4.1505 4.1505 7.8073 74.58 74.58 90.00
Closest atoms and distances in Å follow each position.
Element x y z (fractional)
Ge1 0.0000 0.0000 0.0000  4 B 2.09
Ge2 0.7500 0.2500 0.5000  4 B 2.09
B1 0.8753 0.1250 0.2500  2 B 2.08, 2 Ge 2.09
B2 0.8747 0.6250 0.2500  2 B 2.08, 2 Ge 2.09
B3 0.3750 0.1247 0.7500  2 B 2.08, 2 Ge 2.09
B4 0.8750 0.1253 0.7500  2 B 2.08, 2 Ge 2.09
Ca1 0.5000 0.5000 0.0000  4 Ge 2.93, 8 B 2.94
Ca2 0.2500 0.7500 0.5000  4 Ge 2.93, 8 B 2.94